A plane-wave DFT calculation with PBE was carried out for an optimized crystal structure of Ti2BeNbAg.

- electronic total energy (eV/f.u.) = -25.4
- ΔH_f (0 K) (meV per atom) = 1403
- V (Å³/atom) = 22.63
- magnetic moment (μB/f.u.) = 0.0

a = 4.669 Å, b = 4.669 Å, c = 5.189 Å
α = 90.00°, β = 90.00°, γ = 90.00°
Element x y z (fractional)
Ti 0.000 0.500 0.000
Ti 0.500 0.000 0.000
Be 0.000 0.000 0.500
Nb 0.500 0.500 0.000
Ag 0.500 0.500 0.500